! ZrAs2SeO PBE relaxed; values from VASP
&SYSTEM
  ibrav = 0, nat = 5, ntyp = 4
/
ATOMIC_SPECIES
Zr 91.22 Zr.upf
As 74.92 As.upf
Se 78.96 Se.upf
O 16.00 O.upf
CELL_PARAMETERS angstrom
5.208 0.000 0.000
0.000 5.208 0.000
0.000 0.000 5.055
ATOMIC_POSITIONS angstrom
Zr 0.000 0.000 0.000
As 0.000 2.604 0.000
As 2.604 0.000 0.000
Se 0.000 0.000 2.528
O 2.604 2.604 2.528
! Uncorrected energy (eV per atom): -4.6212
! Magnetization (Bohr magnetons per cell): 0.00
! DOS(E_F) (states/eV/cell): 10.99
! ΔE_f (raw) (kJ/mol of atoms): 61.4
! Energy above the lowest structure with this stoichiometry (kcal/mol of atoms): 20.084